1.
DFT (PBE) results for KZnPbCl5 after structural relaxation.

Lattice parameters (Å, degrees): 9.188 12.203 10.157 90.00 113.59 90.00
Space group C2/c (No. 15)
Inequivalent atoms, fractional coordinates:
K1 0.000 0.148 0.250 (multiplicity 4)
Zn1 0.000 0.184 0.750 (multiplicity 4)
Pb1 0.000 0.500 0.000 (multiplicity 4)
Cl1 0.000 0.400 0.250 (multiplicity 4)
Cl2 0.128 0.289 0.641 (multiplicity 8)
Cl3 0.166 0.068 0.927 (multiplicity 8)

Results
Formation energy without anion corrections in eV/f.u.: -11.0

***

2.
DFT (PBE) results for K2ZnPbCl6 after structural relaxation.

Lattice parameters (Å, degrees): 7.324 7.329 7.350 61.56 61.54 61.59
Space group P-1 (No. 2)
Inequivalent atoms, fractional coordinates:
K1 0.234 0.232 0.232 (multiplicity 2)
Zn1 0.000 0.000 0.000 (multiplicity 1)
Pb1 0.500 0.500 0.500 (multiplicity 1)
Cl1 0.147 0.315 0.782 (multiplicity 2)
Cl2 0.225 0.852 0.686 (multiplicity 2)
Cl3 0.312 0.780 0.150 (multiplicity 2)

Results
Formation energy without anion corrections in eV/f.u.: -14.4

***

Uncorrected energy? In order: -3.2836, -3.2696 eV/atom.